Material: Dy2MgSbC
Method: DFT, GGA-PBE
State: optimized geometry

E_form (uncorrected) ... -0.552 eV/atom
E_tot ... -26.905 eV per cell

a b c (Å): 4.3540 4.9580 4.9580
angles (deg): 90.00 90.00 90.00
Element x y z (fractional)
Dy  0.0000  0.5000  0.0000
Dy  0.0000  0.0000  0.5000
Mg  0.5000  0.0000  0.0000
C  0.0000  0.0000  0.0000
Sb  0.5000  0.5000  0.5000

=====

Material: DyLuPu2
Method: DFT, GGA-PBE
State: optimized geometry

Calculated formation energy ... 15.4 kJ per mole of atoms
E_tot ... -37.149 eV per cell

a b c (Å): 3.3788 3.3788 10.0349
angles (deg): 90.00 90.00 90.00
Last column: magnetic moment on the atom in μB.
Element x y z (fractional)
Pu  0.0000  0.0000  0.7534  -5.59
Pu  0.0000  0.0000  0.2466  -5.59
Dy  0.5000  0.5000  0.5000  -0.25
Lu  0.5000  0.5000  0.0000  -0.33

=====

Material: Na4TiIn3S8
Method: DFT, GGA-PBE
State: optimized geometry

E_form (uncorrected) ... -0.971 eV/atom
E_tot ... -69.939 eV per cell

a b c (Å): 7.6402 7.9878 7.6410
angles (deg): 118.59 120.00 90.00
Last column: magnetic moment on the atom in μB.
Element x y z (fractional)
Ti  0.0000  0.5000  0.0000  0.72
S  0.7407  0.7210  0.4813  0.03
S  0.2310  0.7139  0.4620  -0.01
S  0.7690  0.2856  0.0148  -0.01
S  0.7542  0.7144  0.9852  -0.01
S  0.2458  0.2856  0.0148  -0.01
S  0.2593  0.2790  0.5187  0.03
S  0.2310  0.7144  0.9852  -0.01
S  0.7690  0.2861  0.5380  -0.01
In  0.5000  0.5000  0.0000  0.03
In  0.5000  0.5000  0.5000  0.03
In  0.0000  0.5000  0.5000  0.03
Na  0.0000  0.0000  0.0000  0.00
Na  0.0000  0.0000  0.5000  0.00
Na  0.5000  0.0000  0.0000  0.00
Na  0.5000  0.0000  0.5000  0.00